TiNbS2: relaxed, GGA-PBE.

Energy relative to the elements, uncorrected ... -852 meV/atom
E above lowest polymorph ... 1.019 eV per formula unit
Calculated volume ... 14.6 Å³/atom
Total moment ... 1.0 μB/f.u.
Energy ... -7.4067 eV per atom

Cell: 4.3596 4.3596 4.3596 Å, 60.00 60.00 60.00°
Last column: nearest neighbours and their distance in Å.
Element x y z (fractional)
S  0.7500  0.7500  0.7500  4 Nb 2.67, 4 Ti 2.67
S  0.2500  0.2500  0.2500  4 Nb 2.67, 4 Ti 2.67
Nb  0.5000  0.5000  0.5000  8 S 2.67
Ti  0.0000  0.0000  0.0000  8 S 2.67

CaBi2S: relaxed, GGA-PBE.

Energy relative to the elements, uncorrected ... -548 meV/atom
Calculated volume ... 30.7 Å³/atom
Total moment ... 0.0 μB/f.u.
Energy ... -4.0210 eV per atom

Cell: 4.3208 4.3208 13.4898 Å, 80.78 80.78 90.00°
Last column: nearest neighbours and their distance in Å.
Element x y z (fractional)
Bi  0.8750  0.8858  0.7500  4 Bi 2.99-3.12
Bi  0.3750  0.3642  0.7500  4 Bi 2.99-3.12
Bi  0.1142  0.6250  0.2500  4 Bi 2.99-3.12
Bi  0.6358  0.1250  0.2500  4 Bi 2.99-3.12
Ca  0.7500  0.2500  0.5000  4 S 3.06
Ca  0.0000  0.0000  0.0000  4 S 3.06
S  0.2500  0.7500  0.5000  4 Ca 3.06
S  0.5000  0.5000  0.0000  4 Ca 3.06

Sr2NiRhN: relaxed, GGA-PBE.

Energy relative to the elements, uncorrected ... -288 meV/atom
E above lowest polymorph ... 0.000 eV per formula unit
Calculated volume ... 20.4 Å³/atom
Total moment ... 0.0 μB/f.u.
Energy ... -5.2524 eV per atom

Cell: 5.3953 5.3953 3.5020 Å, 90.00 90.00 90.00°
Last column: nearest neighbours and their distance in Å.
Element x y z (fractional)
Rh  0.5000  0.5000  0.5000  8 Sr 3.22, 2 Rh 3.50
Ni  0.0000  0.0000  0.5000  2 N 1.75
Sr  0.5000  0.0000  0.0000  2 N 2.70
Sr  0.0000  0.5000  0.0000  2 N 2.70
N  0.0000  0.0000  0.0000  2 Ni 1.75

Sm2ZrTiIr2: relaxed, GGA-PBE.

ΔH_f (0 K) ... -0.66 eV/atom
Calculated volume ... 23.0 Å³/atom
Total moment ... 0.0 μB/f.u.
Energy ... -7.9306 eV per atom

Cell: 6.4498 6.4099 8.0731 Å, 113.39 113.54 90.00°
Last column: nearest neighbours and their distance in Å.
Element x y z (fractional)
Sm  0.5382  0.8173  0.6346  2 Ir 2.91-3.12, 2 Ti 3.25
Sm  0.0964  0.3173  0.6346  2 Ir 2.91-3.12, 2 Ti 3.25
Sm  0.9036  0.6827  0.3654  2 Ir 2.91-3.12, 2 Ti 3.25
Sm  0.4618  0.1827  0.3654  2 Ir 2.91-3.12, 2 Ti 3.25
Zr  0.0000  0.2500  0.0000  4 Ir 2.71
Zr  0.0000  0.7500  0.0000  4 Ir 2.71
Ir  0.3679  0.6005  0.2010  2 Ti 2.57, 2 Zr 2.71
Ir  0.1669  0.8995  0.7990  2 Ti 2.57, 2 Zr 2.71
Ir  0.8331  0.1005  0.2010  2 Ti 2.57, 2 Zr 2.71
Ir  0.6321  0.3995  0.7990  2 Ti 2.57, 2 Zr 2.71
Ti  0.5000  0.7500  0.0000  4 Ir 2.57
Ti  0.5000  0.2500  0.0000  4 Ir 2.57